Ta2TiCu: relaxed, PBE.

The structure in POSCAR format:
```
Ta2TiCu
1.0
3.2990 0.0000 0.0000
0.0000 3.2990 0.0000
0.0000 0.0000 5.9780
Ta Ti Cu
2 1 1
Direct
0.0000 0.0000 0.2448
0.0000 0.0000 0.7552
0.5000 0.5000 0.5000
0.5000 0.5000 0.0000
```

Properties
* DOS(E_F): 0.998 states/eV per atom
* ΔE_f: 0.51 eV per formula unit
* raw total energy: -8.797 eV/atom